# Ga2FeBrO, relaxed, DFT GGA+U
data_Ga2FeBrO
_cell_length_a 5.915
_cell_length_b 5.915
_cell_length_c 3.706
_cell_angle_alpha 90.00
_cell_angle_beta 90.00
_cell_angle_gamma 90.00
_space_group_name_H-M_alt 'P 4/m m m'
_space_group_IT_number 123
_space_group_name_Hall '-P 4 2'
loop_
_atom_site_label
_atom_site_fract_x
_atom_site_fract_y
_atom_site_fract_z
Ga1 0.000 0.500 0.000
Fe1 0.000 0.000 0.000
Br1 0.500 0.500 0.500
O1 0.000 0.000 0.500
# - final energy (eV per atom) = -3.9681
# - ρ (Mg/m³) = 3.729